Material: Tm6Ru5Rh
Method: DFT, GGA-PBE
State: relaxed

Computed properties:
uncorrected energy = -7.24 eV/atom
space group = Cmmm
ΔH_f (0 K) = -0.524 eV per atom
DOS at the Fermi energy = 10.2 states/eV per cell

Structure (POSCAR):
```
Tm6Ru5Rh
1.0
2.374 -7.109 0.000
2.374 7.109 0.000
0.000 0.000 6.731
Tm Ru Rh
6 5 1
Direct
0.000 0.000 0.248
0.000 0.000 0.752
0.332 0.668 0.249
0.332 0.668 0.751
0.668 0.332 0.249
0.668 0.332 0.751
0.166 0.834 0.000
0.166 0.834 0.500
0.500 0.500 0.000
0.834 0.166 0.000
0.834 0.166 0.500
0.500 0.500 0.500
```